A geometry-optimized Os2PtW structure, computed with PBE.

The structure in POSCAR format:
```
Os2PtW
1.0
2.770 0.000 0.000
0.000 2.770 0.000
0.000 0.000 7.875
Os Pt W
2 1 1
Direct
0.000 0.000 0.245
0.000 0.000 0.755
0.500 0.500 0.500
0.500 0.500 0.000
```

Calculated values
The calculation puts the size of the total moment at 0.00 μB/cell. As for the formation energy: 0.4 eV per formula unit. The value obtained for the density is 20.9 g/cm³. Its density of states at the Fermi level is 0.7829 states/eV/atom. As for the space group: P4/mmm. The calculation puts the total energy at -10.257 eV per atom. The calculation puts the energy relative to the lowest polymorph listed for this composition at 0.183 eV/atom.